The following is a DFT calculation (GGA-PBE) of a relaxed structure of LaPmNiAs.

abc: 5.1142 5.1142 5.1142
angles: 60.00 60.00 60.00
Site moments in Bohr magnetons follow the coordinates.
Fractional coordinates of all 4 atoms:
Ni 0.2500 0.2500 0.2500  0.15
As 0.7500 0.7500 0.7500  0.00
La 0.5000 0.5000 0.5000  0.11
Pm 0.0000 0.0000 0.0000  0.14

Calculated values
energy relative to the elements	-239.0	kJ/mol of formula units
spin magnetization	0.61	μB/f.u.
symmetry	F-43m, No. 216

=====

The following is a DFT calculation (GGA-PBE) of a relaxed structure of La2NiAs4Pt3.

abc: 4.4454 4.4454 9.9300
angles: 90.00 90.00 90.00
Fractional coordinates of all 10 atoms:
La 0.5000 0.0000 0.2552
La 0.0000 0.5000 0.7448
Pt 0.5000 0.0000 0.8775
Pt 0.0000 0.0000 0.5000
Pt 0.0000 0.5000 0.1225
As 0.0000 0.5000 0.3757
As 0.5000 0.0000 0.6243
As 0.5000 0.5000 0.0000
As 0.0000 0.0000 0.0000
Ni 0.5000 0.5000 0.5000

Calculated values
energy relative to the elements	-893.8	kJ/mol of formula units
spin magnetization	0.00	μB/f.u.
symmetry	P-4m2, No. 115

=====

The following is a DFT calculation (GGA-PBE) of a relaxed structure of LaPuNi2As2.

abc: 4.1333 4.1333 7.9932
angles: 90.00 90.00 120.00
Site moments in Bohr magnetons follow the coordinates.
Fractional coordinates of all 6 atoms:
Pu 0.0000 0.0000 0.0000  5.13
Ni 0.3333 0.6667 0.7685  -0.17
Ni 0.6667 0.3333 0.2315  -0.17
As 0.3333 0.6667 0.2419  -0.05
As 0.6667 0.3333 0.7581  -0.05
La 0.0000 0.0000 0.5000  0.05

Calculated values
energy relative to the elements	-528.3	kJ/mol of formula units
spin magnetization	5.12	μB/f.u.
symmetry	P-3m1, No. 164

=====

The following is a DFT calculation (GGA-PBE) of a relaxed structure of LaReNiAs2.

abc: 4.7332 5.6990 4.7332
angles: 90.00 90.00 90.00
Fractional coordinates of all 5 atoms:
La 0.0000 0.5000 0.0000
As 0.5000 0.0000 0.0000
As 0.0000 0.0000 0.5000
Ni 0.5000 0.5000 0.5000
Re 0.0000 0.0000 0.0000

Calculated values
energy relative to the elements	213.1	kJ/mol of formula units
spin magnetization	0.00	μB/f.u.
symmetry	P4/mmm, No. 123

=====

The following is a DFT calculation (GGA-PBE) of a relaxed structure of La2Ni3As4Rh.

abc: 4.2876 4.2876 9.6403
angles: 90.00 90.00 90.00
Fractional coordinates of all 10 atoms:
As 0.5000 0.5000 0.0000
As 0.0000 0.5000 0.3647
As 0.0000 0.0000 0.0000
As 0.5000 0.0000 0.6353
Ni 0.0000 0.5000 0.1143
Ni 0.5000 0.0000 0.8857
Ni 0.0000 0.0000 0.5000
La 0.5000 0.0000 0.2477
La 0.0000 0.5000 0.7523
Rh 0.5000 0.5000 0.5000

Calculated values
energy relative to the elements	-861.8	kJ/mol of formula units
spin magnetization	0.00	μB/f.u.
symmetry	P-4m2, No. 115

=====

The following is a DFT calculation (GGA-PBE) of a relaxed structure of LaNiAs2Rh2.

abc: 4.5363 4.5363 5.4917
angles: 90.00 90.00 90.00
Fractional coordinates of all 6 atoms:
Rh 0.5000 0.5000 0.2566
Rh 0.5000 0.5000 0.7434
La 0.0000 0.0000 0.5000
As 0.0000 0.5000 0.0000
As 0.5000 0.0000 0.0000
Ni 0.0000 0.0000 0.0000

Calculated values
energy relative to the elements	-214.4	kJ/mol of formula units
spin magnetization	0.00	μB/f.u.
symmetry	P4/mmm, No. 123

=====

- Number 1 is which compound?
  LaPmNiAs

=====

- What is the spin magnetization in the fourth record?
  0.00 μB/f.u.

=====

- The lowest energy relative to the elements belongs to which entry?
  La2NiAs4Pt3